Entry 1:
Compound: SrTa2Cd
Source: Alexandria
Functional: GGA-PBE
Structure: relaxed

Its total DFT energy (no corrections) is -5.93 eV/atom. For the energy of formation from the pure elements, the calculation gives 643 meV/atom. As for the density of states at the Fermi level: 0.86 states/eV/atom. As for the volume: 183 Å³ per cell.

It has space group Immm (No. 71), with a = 3.0591 Å, b = 5.1884 Å, c = 11.5523 Å, α = 90.00°, β = 90.00° and γ = 90.00°. The distinct sites, in fractional coordinates, are Sr at (0.0000, 0.0000, 0.0000), Ta at (0.0000, 0.5000, 0.2248) and Cd at (0.0000, 0.0000, 0.5000).

---

Entry 2:
Compound: DyGaSn
Source: Alexandria
Functional: GGA-PBE
Structure: relaxed

Its total DFT energy (no corrections) is -4.37 eV/atom. For the energy of formation from the pure elements, the calculation gives -492 meV/atom. As for the density of states at the Fermi level: 0.74 states/eV/atom. As for the volume: 287 Å³ per cell.

It has space group Cmcm (No. 63), with a = 3.8441 Å, b = 17.6044 Å, c = 4.2386 Å, α = 90.00°, β = 90.00° and γ = 90.00°. The distinct sites, in fractional coordinates, are Dy at (0.0000, 0.1005, 0.2500), Ga at (0.0000, 0.4590, 0.2500) and Sn at (0.0000, 0.2943, 0.2500).

---

Entry 3:
Compound: KS5Br
Source: Alexandria
Functional: GGA-PBE
Structure: relaxed

Its formation energy from raw total energies is -0.250 eV per atom. Its total DFT energy (no corrections) is -3.59 eV/atom. As for the volume: 1017 Å³ per cell.

It has space group C2/c (No. 15), with a = 8.7479 Å, b = 17.9681 Å, c = 7.4446 Å, α = 90.00°, β = 119.65° and γ = 90.00°. The distinct sites, in fractional coordinates, are K at (0.0000, 0.0000, 0.0000), S at (0.0000, 0.3962, 0.2500), S at (0.1215, 0.3238, 0.1332), S at (0.1220, 0.3818, 0.9028) and Br at (0.0000, 0.1325, 0.2500).

---

Entry 4:
Compound: SrCoSi2
Source: Alexandria
Functional: GGA-PBE
Structure: relaxed

Its formation energy from raw total energies is 0.368 eV per atom. Its total DFT energy (no corrections) is -4.54 eV/atom. As for the density of states at the Fermi level: 0.95 states/eV/atom. As for the volume: 282 Å³ per cell.

It has space group Fm-3m (No. 225), with a = 6.5615 Å, b = 6.5615 Å, c = 6.5615 Å, α = 90.00°, β = 90.00° and γ = 90.00°. The distinct sites, in fractional coordinates, are Sr at (0.0000, 0.0000, 0.0000), Co at (0.0000, 0.0000, 0.5000) and Si at (0.2500, 0.2500, 0.2500).

---

Entry 5:
Compound: Ac4IrBr5
Source: Alexandria
Functional: GGA-PBE
Structure: relaxed

Its formation energy from raw total energies is -1.538 eV per atom. Its total DFT energy (no corrections) is -4.90 eV/atom. As for the density of states at the Fermi level: 0.44 states/eV/atom. As for the volume: 795 Å³ per cell.

It has space group C2/m (No. 12), with a = 20.4554 Å, b = 4.3887 Å, c = 9.2305 Å, α = 90.00°, β = 106.31° and γ = 90.00°. The distinct sites, in fractional coordinates, are Ac at (0.0029, 0.0000, 0.2863), Ac at (0.1524, 0.5000, 0.6093), Ir at (0.0000, 0.5000, 0.5000), Br at (0.0000, 0.5000, 0.0000), Br at (0.1668, 0.0000, 0.8630) and Br at (0.1759, 0.0000, 0.3687).

---

Entry 6:
Compound: V2GeS
Source: Alexandria
Functional: GGA-PBE
Structure: relaxed

Its formation energy from raw total energies is -0.133 eV per atom. Its total DFT energy (no corrections) is -6.88 eV/atom. As for the energy above the lowest structure with this stoichiometry: 9.6 kJ/mol of atoms. As for the density of states at the Fermi level: 0.70 states/eV/atom. As for the volume: 218 Å³ per cell.

It has space group Fm-3m (No. 225), with a = 6.0212 Å, b = 6.0212 Å, c = 6.0212 Å, α = 90.00°, β = 90.00° and γ = 90.00°. The distinct sites, in fractional coordinates, are V at (0.2500, 0.2500, 0.2500), Ge at (0.0000, 0.0000, 0.0000) and S at (0.0000, 0.0000, 0.5000).

---

Entry 7:
Compound: Sc5NbRu6
Source: Alexandria
Functional: GGA-PBE
Structure: relaxed

Its total DFT energy (no corrections) is -8.68 eV/atom. For the energy of formation from the pure elements, the calculation gives -568 meV/atom. As for the density of states at the Fermi level: 0.88 states/eV/atom. As for the volume: 394 Å³ per cell.

It has space group Immm (No. 71), with a = 4.5328 Å, b = 6.4278 Å, c = 13.5348 Å, α = 90.00°, β = 90.00° and γ = 90.00°. The distinct sites, in fractional coordinates, are Sc at (0.0000, 0.0000, 0.0000), Sc at (0.0000, 0.0000, 0.3312), Sc at (0.0000, 0.5000, 0.3341), Nb at (0.0000, 0.5000, 0.0000), Ru at (0.0000, 0.2406, 0.5000) and Ru at (0.0000, 0.2553, 0.1626).

---

Entry 8:
Compound: Pm2Dy2Ga
Source: Alexandria
Functional: GGA-PBE
Structure: relaxed

Its total DFT energy (no corrections) is -3.99 eV/atom. For the energy of formation from the pure elements, the calculation gives 360 meV/atom. As for the density of states at the Fermi level: 1.39 states/eV/atom. As for the volume: 320 Å³ per cell.

It has space group I4/mmm (No. 139), with a = 4.2478 Å, b = 4.2478 Å, c = 17.7155 Å, α = 90.00°, β = 90.00° and γ = 90.00°. The distinct sites, in fractional coordinates, are Pm at (0.0000, 0.5000, 0.2500), Dy at (0.0000, 0.0000, 0.0845) and Ga at (0.0000, 0.0000, 0.5000).

---

Entry 9:
Compound: BaTiSb2
Source: Alexandria
Functional: GGA-PBE
Structure: relaxed

Its formation energy from raw total energies is -0.616 eV per atom. Its total DFT energy (no corrections) is -5.13 eV/atom. As for the energy above the lowest structure with this stoichiometry: 0.0 kJ/mol of atoms. As for the density of states at the Fermi level: 0.30 states/eV/atom. As for the volume: 369 Å³ per cell.

It has space group R-3m (No. 166, hexagonal axes), with a = 4.2811 Å, b = 4.2811 Å, c = 23.2394 Å, α = 90.00°, β = 90.00° and γ = 120.00°. The distinct sites, in fractional coordinates, are Ba at (0.0000, 0.0000, 0.0000), Ti at (0.0000, 0.0000, 0.5000) and Sb at (0.0000, 0.0000, 0.2290).

---

Entry 10:
Compound: Ho2Ga9Cu
Source: Alexandria
Functional: GGA-PBE
Structure: relaxed

Its total DFT energy (no corrections) is -3.71 eV/atom. For the energy of formation from the pure elements, the calculation gives -332 meV/atom. As for the density of states at the Fermi level: 0.31 states/eV/atom. As for the volume: 221 Å³ per cell.

It has space group P4/mmm (No. 123), with a = 4.2384 Å, b = 4.2384 Å, c = 12.2775 Å, α = 90.00°, β = 90.00° and γ = 90.00°. The distinct sites, in fractional coordinates, are Ho at (0.0000, 0.0000, 0.1776), Ga at (0.0000, 0.5000, 0.0000), Ga at (0.0000, 0.5000, 0.3572), Ga at (0.5000, 0.5000, 0.1633), Ga at (0.5000, 0.5000, 0.5000) and Cu at (0.0000, 0.0000, 0.5000).

---

Entry 11:
Compound: UBr3O
Source: Alexandria
Functional: GGA-PBE
Structure: relaxed

Its formation energy from raw total energies is -1.684 eV per atom. Its total DFT energy (no corrections) is -5.94 eV/atom. As for the density of states at the Fermi level: 1.00 states/eV/atom. As for the volume: 373 Å³ per cell.

It has space group P2_1/m (No. 11), with a = 4.2994 Å, b = 11.0550 Å, c = 8.1290 Å, α = 90.00°, β = 105.25° and γ = 90.00°. The distinct sites, in fractional coordinates, are U at (0.1353, 0.2500, 0.2690), Br at (0.0325, 0.7500, 0.0686), Br at (0.3660, 0.5757, 0.7338) and O at (0.2496, 0.2500, 0.4990).

---

Entry 12:
Compound: Ho3HgS
Source: Alexandria
Functional: GGA-PBE
Structure: relaxed

Its formation energy from raw total energies is -1.003 eV per atom. Its total DFT energy (no corrections) is -4.64 eV/atom. As for the energy above the lowest structure with this stoichiometry: 0.0 kJ/mol of atoms. As for the density of states at the Fermi level: 0.65 states/eV/atom. As for the volume: 507 Å³ per cell.

It has space group Pnma (No. 62), with a = 8.8758 Å, b = 3.8742 Å, c = 14.7413 Å, α = 90.00°, β = 90.00° and γ = 90.00°. The distinct sites, in fractional coordinates, are Ho at (0.0214, 0.2500, 0.1088), Ho at (0.1629, 0.2500, 0.5269), Ho at (0.1904, 0.7500, 0.2877), Hg at (0.0849, 0.7500, 0.6833) and S at (0.1707, 0.2500, 0.9487).